1.
Density functional theory data (meta-GGA SCAN) for a PBEsol-optimized structure of NaSrZn2C.

Output
DFT formation energy = 1.59 eV per atom
size of the total moment = 1.79 μB per cell
calculated total energy = -11.1299 eV/atom

Lattice parameters (Å, degrees): 4.7989 4.7989 6.3242 90.00 90.00 90.00
With the nearest neighbours (Å) after each atom.
Space group P4/mmm (No. 123)
One atom of each set of equivalent atoms:
Na 0.0000 0.0000 0.0000 (multiplicity 1)  4 Zn 2.40
Sr 0.0000 0.0000 0.5000 (multiplicity 1)  2 Na 3.16, 4 C 3.39
Zn 0.0000 0.5000 0.0000 (multiplicity 2)  2 Na 2.40
C 0.5000 0.5000 0.5000 (multiplicity 1)  4 Sr 3.39

---

2.
Density functional theory data (meta-GGA SCAN) for a PBEsol-optimized structure of Cs2YBr.

Output
formation energy from raw total energies = -0.276 eV/atom
size of the total moment = 7.72 μB per cell
calculated total energy = -31.0072 eV/atom

Lattice parameters (Å, degrees): 12.8927 12.8927 5.5443 90.00 90.00 90.00
With the nearest neighbours (Å) after each atom.
Space group I-42d (No. 122)
One atom of each set of equivalent atoms:
Cs 0.1155 0.2500 0.1250 (multiplicity 8)  2 Br 3.62
Y 0.0000 0.0000 0.5000 (multiplicity 4)  2 Br 2.77
Br 0.0000 0.0000 0.0000 (multiplicity 4)  2 Y 2.77

---

3.
Density functional theory data (meta-GGA SCAN) for a PBEsol-optimized structure of Sr2HfFe.

Output
DFT formation energy = 1.07 eV per atom
size of the total moment = 14.29 μB per cell
calculated total energy = -30.2682 eV/atom

Lattice parameters (Å, degrees): 7.6373 7.6373 7.6373 90.00 90.00 90.00
With the nearest neighbours (Å) after each atom.
Space group Fm-3m (No. 225)
One atom of each set of equivalent atoms:
Sr 0.2500 0.2500 0.2500 (multiplicity 8)  4 Hf 3.31, 4 Fe 3.31
Hf 0.0000 0.0000 0.0000 (multiplicity 4)  8 Sr 3.31
Fe 0.0000 0.0000 0.5000 (multiplicity 4)  8 Sr 3.31

---

4.
Density functional theory data (meta-GGA SCAN) for a PBEsol-optimized structure of CaPtIO2.

Output
formation energy from raw total energies = -0.155 eV/atom
size of the total moment = 2.36 μB per cell
calculated total energy = -25.9668 eV/atom

Lattice parameters (Å, degrees): 4.1190 4.1190 6.4609 90.00 90.00 90.00
With the nearest neighbours (Å) after each atom.
Space group P4/mmm (No. 123)
One atom of each set of equivalent atoms:
Ca 0.0000 0.0000 0.0000 (multiplicity 1)  4 O 2.06
Pt 0.5000 0.5000 0.5000 (multiplicity 1)  4 I 2.91
I 0.0000 0.0000 0.5000 (multiplicity 1)  4 Pt 2.91, 2 Ca 3.23
O 0.0000 0.5000 0.0000 (multiplicity 2)  2 Ca 2.06

---

5.
Density functional theory data (meta-GGA SCAN) for a PBEsol-optimized structure of CuAsSe2Cl.

Output
formation energy from raw total energies = 1.282 eV/atom
size of the total moment = 0.00 μB per cell
calculated total energy = -15.4229 eV/atom

Lattice parameters (Å, degrees): 4.8211 4.8211 4.8649 90.00 90.00 90.00
With the nearest neighbours (Å) after each atom.
Space group P4/mmm (No. 123)
One atom of each set of equivalent atoms:
Cu 0.0000 0.0000 0.0000 (multiplicity 1)  4 As 3.41, 8 Se 3.42
As 0.5000 0.5000 0.0000 (multiplicity 1)  2 Cl 2.43
Se 0.0000 0.5000 0.5000 (multiplicity 2)  2 Cl 2.41
Cl 0.5000 0.5000 0.5000 (multiplicity 1)  4 Se 2.41, 2 As 2.43

---

6.
Density functional theory data (meta-GGA SCAN) for a PBEsol-optimized structure of Ca3SiCl.

Output
formation energy from raw total energies = -0.557 eV/atom
size of the total moment = 0.00 μB per cell
calculated total energy = -9.9538 eV/atom

Lattice parameters (Å, degrees): 5.0912 5.0912 5.0912 90.00 90.00 90.00
With the nearest neighbours (Å) after each atom.
Space group Pm-3m (No. 221)
One atom of each set of equivalent atoms:
Ca 0.0000 0.0000 0.5000 (multiplicity 3)  2 Cl 2.55
Si 0.5000 0.5000 0.5000 (multiplicity 1)  12 Ca 3.60
Cl 0.0000 0.0000 0.0000 (multiplicity 1)  6 Ca 2.55